A plane-wave DFT calculation with GGA-PBE was carried out for a geometry-optimized EuPaRu2 structure.

Cell: 4.8630 4.8630 4.8630 Å, 60.00 60.00 60.00°
Last column: nearest neighbours and their distance in Å.
Fractional coordinates of all 4 atoms:
Eu1 0.0000 0.0000 0.0000  8 Ru 2.98
Ru1 0.2500 0.2500 0.2500  4 Pa 2.98, 4 Eu 2.98
Ru2 0.7500 0.7500 0.7500  4 Pa 2.98, 4 Eu 2.98
Pa1 0.5000 0.5000 0.5000  8 Ru 2.98

Results
Its energy above the lowest structure with this stoichiometry is 186 meV per atom. The density of states at the Fermi level is 1.07 states/eV/atom. The calculation puts the calculated formation energy at -3.0 kcal/mol of atoms.

---

A plane-wave DFT calculation with GGA-PBE was carried out for a geometry-optimized EuPaZnRu structure.

Cell: 4.9622 4.9622 4.9622 Å, 60.00 60.00 60.00°
Last column: nearest neighbours and their distance in Å.
Fractional coordinates of all 4 atoms:
Zn1 0.2500 0.2500 0.2500  4 Pa 3.04, 4 Eu 3.04
Pa1 0.5000 0.5000 0.5000  4 Ru 3.04, 4 Zn 3.04
Ru1 0.7500 0.7500 0.7500  4 Pa 3.04, 4 Eu 3.04
Eu1 0.0000 0.0000 0.0000  4 Zn 3.04, 4 Ru 3.04

Results
The density of states at the Fermi level is 1.04 states/eV/atom. The calculation puts the calculated formation energy at -0.4 kcal/mol of atoms.

---

A plane-wave DFT calculation with GGA-PBE was carried out for a geometry-optimized EuPaS3 structure.

Cell: 5.2358 5.2358 5.2358 Å, 90.00 90.00 90.00°
Last column: nearest neighbours and their distance in Å.
Fractional coordinates of all 5 atoms:
S1 0.0000 0.5000 0.0000  2 Pa 2.62
S2 0.5000 0.0000 0.0000  2 Pa 2.62
S3 0.0000 0.0000 0.5000  2 Pa 2.62
Eu1 0.5000 0.5000 0.5000  12 S 3.70
Pa1 0.0000 0.0000 0.0000  6 S 2.62

Results
The density of states at the Fermi level is 1.29 states/eV/atom. As for the uncorrected formation energy: -1.52 eV/atom.

---

A plane-wave DFT calculation with GGA-PBE was carried out for a geometry-optimized EuSc2Pa structure.

Cell: 3.3374 3.3374 9.9313 Å, 90.00 90.00 90.00°
Last column: nearest neighbours and their distance in Å.
Fractional coordinates of all 4 atoms:
Eu1 0.5000 0.5000 0.5000  4 Eu 3.34, 8 Sc 3.65
Sc1 0.0000 0.0000 0.2200  4 Pa 3.22, 4 Sc 3.34
Sc2 0.0000 0.0000 0.7800  4 Pa 3.22, 4 Sc 3.34
Pa1 0.5000 0.5000 0.0000  8 Sc 3.22, 4 Pa 3.34

Results
Its energy above the lowest structure with this stoichiometry is 0 meV per atom. The density of states at the Fermi level is 1.68 states/eV/atom. The calculation puts the calculated formation energy at 3.6 kcal/mol of atoms.

---

A plane-wave DFT calculation with GGA-PBE was carried out for a geometry-optimized EuSc2Pa structure.

Cell: 3.1983 3.1983 12.0372 Å, 82.37 82.37 60.00°
Last column: nearest neighbours and their distance in Å.
Fractional coordinates of all 4 atoms:
Sc1 0.0841 0.0841 0.7478  1 Pa 3.00, 6 Sc 3.20
Sc2 0.9159 0.9159 0.2522  1 Pa 3.00, 6 Sc 3.20
Eu1 0.5000 0.5000 0.5000  6 Eu 3.20, 6 Sc 3.48
Pa1 0.0000 0.0000 0.0000  2 Sc 3.00, 6 Pa 3.20

Results
Its energy above the lowest structure with this stoichiometry is 179 meV per atom. The density of states at the Fermi level is 1.45 states/eV/atom. The calculation puts the calculated formation energy at 7.8 kcal/mol of atoms.

---

A plane-wave DFT calculation with GGA-PBE was carried out for a geometry-optimized EuPaSe2 structure.

Cell: 3.6090 3.6090 7.3046 Å, 90.00 90.00 90.00°
Last column: nearest neighbours and their distance in Å.
Fractional coordinates of all 4 atoms:
Se1 0.0000 0.0000 0.7666  4 Pa 3.07, 4 Eu 3.21, 1 Se 3.41
Se2 0.0000 0.0000 0.2334  4 Pa 3.07, 4 Eu 3.21, 1 Se 3.41
Eu1 0.5000 0.5000 0.5000  8 Se 3.21
Pa1 0.5000 0.5000 0.0000  8 Se 3.07

Results
Its energy above the lowest structure with this stoichiometry is 0 meV per atom. The density of states at the Fermi level is 1.44 states/eV/atom. As for the uncorrected formation energy: -1.34 eV/atom.

---

A plane-wave DFT calculation with GGA-PBE was carried out for a geometry-optimized EuPaSe2 structure.

Cell: 5.1083 5.1083 5.1081 Å, 60.00 60.00 60.00°
Last column: nearest neighbours and their distance in Å.
Fractional coordinates of all 4 atoms:
Se1 0.7500 0.7500 0.7501  4 Eu 3.13, 4 Pa 3.13
Se2 0.2500 0.2500 0.2499  4 Eu 3.13, 4 Pa 3.13
Pa1 0.0000 0.0000 0.0000  8 Se 3.13
Eu1 0.5000 0.5000 0.5000  8 Se 3.13

Results
Its energy above the lowest structure with this stoichiometry is 106 meV per atom. The density of states at the Fermi level is 1.07 states/eV/atom. As for the uncorrected formation energy: -1.24 eV/atom.

---

A plane-wave DFT calculation with GGA-PBE was carried out for a geometry-optimized EuPaSi4 structure.

Cell: 5.3283 5.3283 5.3283 Å, 60.00 60.00 60.00°
Last column: nearest neighbours and their distance in Å.
Fractional coordinates of all 6 atoms:
Si1 0.6257 0.1230 0.6257  6 Si 2.65-2.68
Si2 0.1230 0.6257 0.6257  6 Si 2.65-2.68
Si3 0.6257 0.6257 0.6257  6 Si 2.65-2.68
Si4 0.6257 0.6257 0.1230  6 Si 2.65-2.68
Pa1 0.2500 0.2500 0.2500  12 Si 3.13, 4 Eu 3.26
Eu1 0.0000 0.0000 0.0000  12 Si 3.12, 4 Pa 3.26

Results
The density of states at the Fermi level is 0.93 states/eV/atom. As for the uncorrected formation energy: -0.23 eV/atom.

---

A plane-wave DFT calculation with GGA-PBE was carried out for a geometry-optimized EuPa2Si structure.

Cell: 3.1879 3.1879 11.4701 Å, 82.01 82.01 60.00°
Last column: nearest neighbours and their distance in Å.
Fractional coordinates of all 4 atoms:
Pa1 0.9025 0.9025 0.2924  3 Si 2.98, 6 Pa 3.19, 1 Eu 3.31
Pa2 0.0975 0.0975 0.7076  3 Si 2.98, 6 Pa 3.19, 1 Eu 3.31
Eu1 0.0000 0.0000 0.0000  6 Eu 3.19, 2 Pa 3.31
Si1 0.5000 0.5000 0.5000  6 Pa 2.98, 6 Si 3.19

Results
The density of states at the Fermi level is 1.77 states/eV/atom. As for the uncorrected formation energy: 0.24 eV/atom.

---

A plane-wave DFT calculation with GGA-PBE was carried out for a geometry-optimized Sm2EuPa structure.

Cell: 3.4826 3.4826 10.7152 Å, 90.00 90.00 90.00°
Last column: nearest neighbours and their distance in Å.
Fractional coordinates of all 4 atoms:
Eu1 0.5000 0.5000 0.5000  4 Eu 3.48, 8 Sm 3.88
Sm1 0.0000 0.0000 0.7801  4 Pa 3.41, 4 Sm 3.48
Sm2 0.0000 0.0000 0.2199  4 Pa 3.41, 4 Sm 3.48
Pa1 0.5000 0.5000 0.0000  8 Sm 3.41, 4 Pa 3.48

Results
The density of states at the Fermi level is 1.40 states/eV/atom. The calculation puts the calculated formation energy at 3.7 kcal/mol of atoms.

---

A plane-wave DFT calculation with GGA-PBE was carried out for a geometry-optimized EuPaSn structure.

Cell: 3.1563 5.3038 5.3038 Å, 120.00 90.00 90.00°
Last column: nearest neighbours and their distance in Å.
Fractional coordinates of all 3 atoms:
Sn1 0.9999 0.0000 0.0000  2 Sn 3.16, 6 Pa 3.44-3.45, 6 Eu 3.44
Eu1 0.4999 0.3333 0.6667  3 Pa 3.06, 2 Eu 3.16
Pa1 0.5002 0.6667 0.3333  3 Eu 3.06, 2 Pa 3.16

Results
Its energy above the lowest structure with this stoichiometry is 99 meV per atom. The density of states at the Fermi level is 1.69 states/eV/atom. The calculation puts the calculated formation energy at 2.4 kcal/mol of atoms.

---

A plane-wave DFT calculation with GGA-PBE was carried out for a geometry-optimized EuPaSn structure.

Cell: 4.1016 4.1016 5.7544 Å, 110.88 110.88 90.00°
Last column: nearest neighbours and their distance in Å.
Fractional coordinates of all 3 atoms:
Pa1 0.2969 0.2969 0.5938  1 Eu 3.07, 4 Sn 3.26
Eu1 0.6062 0.6062 0.2124  1 Pa 3.07, 5 Sn 3.30-3.39
Sn1 0.9469 0.9469 0.8938  5 Pa 3.26-3.48, 5 Eu 3.30-3.39

Results
Its energy above the lowest structure with this stoichiometry is 0 meV per atom. The density of states at the Fermi level is 2.10 states/eV/atom. The calculation puts the calculated formation energy at 0.1 kcal/mol of atoms.

---

A plane-wave DFT calculation with GGA-PBE was carried out for a geometry-optimized Tb2EuPa structure.

Cell: 3.4724 3.4724 10.5077 Å, 90.00 90.00 90.00°
Last column: nearest neighbours and their distance in Å.
Fractional coordinates of all 4 atoms:
Tb1 0.0000 0.0000 0.7804  4 Pa 3.37, 4 Tb 3.47
Tb2 0.0000 0.0000 0.2196  4 Pa 3.37, 4 Tb 3.47
Pa1 0.5000 0.5000 0.0000  8 Tb 3.37, 4 Pa 3.47
Eu1 0.5000 0.5000 0.5000  4 Eu 3.47, 8 Tb 3.84

Results
The density of states at the Fermi level is 1.49 states/eV/atom. The calculation puts the calculated formation energy at 3.5 kcal/mol of atoms.

---

A plane-wave DFT calculation with GGA-PBE was carried out for a geometry-optimized EuPa2Tc structure.

Cell: 3.3101 3.3101 9.4110 Å, 90.00 90.00 90.00°
Last column: nearest neighbours and their distance in Å.
Fractional coordinates of all 4 atoms:
Tc1 0.5000 0.5000 0.0000  8 Pa 2.94
Pa1 0.0000 0.0000 0.1886  4 Tc 2.94
Pa2 0.0000 0.0000 0.8114  4 Tc 2.94
Eu1 0.5000 0.5000 0.5000  4 Eu 3.31

Results
Its energy above the lowest structure with this stoichiometry is 0 meV per atom. The density of states at the Fermi level is 2.19 states/eV/atom. The calculation puts the calculated formation energy at 3.4 kcal/mol of atoms.

---

A plane-wave DFT calculation with GGA-PBE was carried out for a geometry-optimized EuPa2Tc structure.

Cell: 3.2012 3.2012 11.4465 Å, 81.96 81.96 60.00°
Last column: nearest neighbours and their distance in Å.
Fractional coordinates of all 4 atoms:
Pa1 0.0733 0.0733 0.7800  1 Tc 2.49
Pa2 0.9267 0.9267 0.2200  1 Tc 2.49
Eu1 0.5000 0.5000 0.5000  6 Eu 3.20
Tc1 0.0000 0.0000 0.0000  2 Pa 2.49

Results
Its energy above the lowest structure with this stoichiometry is 325 meV per atom. The density of states at the Fermi level is 1.39 states/eV/atom. The calculation puts the calculated formation energy at 10.9 kcal/mol of atoms.